[1]
Material: Pr2BeGaPd6
Method: DFT, GGA-PBE
State: optimized geometry

Properties
V: 18.98 Å³ per atom
Calculated formation energy: -0.67 eV per atom
E: -5.417 eV/atom

Cell: 5.834 7.295 5.922 Å, 64.17 60.48 90.00°
Fractional coordinates of all 10 atoms:
Pr 0.722 0.185 0.556
Pr 0.278 0.815 0.444
Be 0.500 0.500 0.000
Ga 0.000 0.000 0.000
Pd 0.257 0.327 0.486
Pd 0.748 0.706 0.019
Pd 0.233 0.705 0.019
Pd 0.767 0.295 0.981
Pd 0.252 0.294 0.981
Pd 0.743 0.673 0.514



[2]
Material: PrBeGa2Pd4
Method: DFT, GGA-PBE
State: optimized geometry

Properties
V: 17.00 Å³ per atom
Calculated formation energy: -0.68 eV per atom
E: -5.097 eV/atom

Cell: 4.282 4.282 8.917 Å, 76.11 76.11 60.00°
Fractional coordinates of all 8 atoms:
Pr 0.000 0.000 0.000
Be 0.500 0.500 0.500
Ga 0.761 0.761 0.717
Ga 0.239 0.239 0.283
Pd 0.409 0.409 0.773
Pd 0.863 0.863 0.411
Pd 0.137 0.137 0.589
Pd 0.591 0.591 0.227